[1]
A plane-wave DFT calculation with meta-GGA SCAN was carried out for NbFeSn3 at its PBEsol-relaxed geometry.

a b c (Å): 4.815 4.815 4.815
angles (deg): 90.00 90.00 90.00
Site moments in Bohr magnetons follow the coordinates.
Atoms (fractional coordinates):
Nb (0.500, 0.500, 0.500)  2.54
Sn (0.000, 0.500, 0.000)  0.02
Sn (0.000, 0.000, 0.500)  0.02
Sn (0.500, 0.000, 0.000)  0.02
Fe (0.000, 0.000, 0.000)  2.02

Results
The total energy comes out at -155.20 eV for the cell shown. The value obtained for the size of the total moment is 5.63 Bohr magnetons per cell. Its volume is 111.61 Å³/cell. Its space group is Pm-3m, No. 221. The calculation puts the formation enthalpy at 0 K at 0.7651 eV/atom.

=====

[2]
A plane-wave DFT calculation with meta-GGA SCAN was carried out for Sr3NbFe at its PBEsol-relaxed geometry.

a b c (Å): 5.696 5.696 5.696
angles (deg): 90.00 90.00 90.00
Site moments in Bohr magnetons follow the coordinates.
Atoms (fractional coordinates):
Sr (0.000, 0.500, 0.000)  0.03
Sr (0.000, 0.000, 0.500)  0.03
Sr (0.500, 0.000, 0.000)  0.03
Nb (0.000, 0.000, 0.000)  1.05
Fe (0.500, 0.500, 0.500)  3.23

Results
The total energy comes out at -111.21 eV for the cell shown. The value obtained for the size of the total moment is 4.26 Bohr magnetons per cell. Its volume is 184.78 Å³/cell. Its space group is Pm-3m, No. 221. The calculation puts the formation enthalpy at 0 K at 1.3759 eV/atom.

=====

[3]
A plane-wave DFT calculation with meta-GGA SCAN was carried out for SrNbFe2 at its PBEsol-relaxed geometry.

a b c (Å): 4.587 4.587 4.587
angles (deg): 60.00 60.00 60.00
Site moments in Bohr magnetons follow the coordinates.
Atoms (fractional coordinates):
Sr (0.000, 0.000, 0.000)  -0.12
Nb (0.500, 0.500, 0.500)  -1.44
Fe (0.250, 0.250, 0.250)  2.50
Fe (0.750, 0.750, 0.750)  2.50

Results
The total energy comes out at -88.24 eV for the cell shown. The value obtained for the size of the total moment is 2.93 Bohr magnetons per cell. Its volume is 68.24 Å³/cell. Its space group is Fm-3m, No. 225. The calculation puts the formation enthalpy at 0 K at 0.8573 eV/atom.

=====

[4]
A plane-wave DFT calculation with meta-GGA SCAN was carried out for NbFeTe2 at its PBEsol-relaxed geometry.

a b c (Å): 6.227 7.281 7.843
angles (deg): 90.00 90.00 90.00
Site moments in Bohr magnetons follow the coordinates.
Atoms (fractional coordinates):
Nb (0.500, 0.500, 0.705)  -0.32
Nb (0.000, 0.500, 0.205)  -0.32
Nb (0.000, 0.500, 0.795)  -0.32
Nb (0.500, 0.500, 0.295)  -0.32
Fe (0.856, 0.386, 0.500)  2.33
Fe (0.356, 0.614, 0.000)  2.33
Fe (0.144, 0.614, 0.500)  2.33
Fe (0.644, 0.386, 0.000)  2.33
Te (0.250, 0.822, 0.250)  -0.01
Te (0.748, 0.730, 0.000)  0.04
Te (0.252, 0.270, 0.000)  0.04
Te (0.750, 0.178, 0.250)  -0.01
Te (0.248, 0.270, 0.500)  0.04
Te (0.752, 0.730, 0.500)  0.04
Te (0.750, 0.178, 0.750)  -0.01
Te (0.250, 0.822, 0.750)  -0.01

Results
The total energy comes out at -508.61 eV for the cell shown. The formation energy from raw total energies is -8.02 kcal/mol of atoms. The value obtained for the size of the total moment is 8.05 Bohr magnetons per cell. Its volume is 355.58 Å³/cell. Its space group is Pmna, No. 53.

=====

[5]
A plane-wave DFT calculation with meta-GGA SCAN was carried out for NbFeTe3 at its PBEsol-relaxed geometry.

a b c (Å): 4.905 4.905 4.905
angles (deg): 90.00 90.00 90.00
Site moments in Bohr magnetons follow the coordinates.
Atoms (fractional coordinates):
Nb (0.500, 0.500, 0.500)  2.36
Te (0.000, 0.500, 0.000)  -0.19
Te (0.000, 0.000, 0.500)  -0.19
Te (0.500, 0.000, 0.000)  -0.19
Fe (0.000, 0.000, 0.000)  -1.98

Results
The total energy comes out at -159.54 eV for the cell shown. The formation energy from raw total energies is 15.99 kcal/mol of atoms. The value obtained for the size of the total moment is 0.38 Bohr magnetons per cell. Its volume is 118.04 Å³/cell. Its space group is Pm-3m, No. 221.

=====

[6]
A plane-wave DFT calculation with meta-GGA SCAN was carried out for NbFeW2 at its PBEsol-relaxed geometry.

a b c (Å): 4.386 4.386 4.386
angles (deg): 60.00 60.00 60.00
Site moments in Bohr magnetons follow the coordinates.
Atoms (fractional coordinates):
Nb (0.500, 0.500, 0.500)  0.09
Fe (0.000, 0.000, 0.000)  2.44
W (0.250, 0.250, 0.250)  -0.27
W (0.750, 0.750, 0.750)  -0.27

Results
The total energy comes out at -189.69 eV for the cell shown. The value obtained for the size of the total moment is 1.89 Bohr magnetons per cell. Its volume is 59.68 Å³/cell. Its space group is Fm-3m, No. 225. The calculation puts the formation enthalpy at 0 K at 0.2362 eV/atom.

=====

What is the formula in the fifth record? NbFeTe3